A PBEsol-optimized structure of AlAu3, computed with meta-GGA SCAN.

abc: 3.202 4.422 4.682
angles: 90.00 90.00 90.00
Space group Pmm2 (No. 25)
One atom of each set of equivalent atoms:
Al  0.000  0.000  0.000 (multiplicity 1)
Au  0.000  0.500  0.364 (multiplicity 1)
Au  0.500  0.000  0.513 (multiplicity 1)
Au  0.500  0.500  0.881 (multiplicity 1)

Output
Its crystal system is orthorhombic. The raw total energy is -54.08 eV per atom. As for the formation enthalpy at 0 K: -0.279 eV per atom. The calculation puts the density of states at the Fermi level at 1.0 states/eV/cell.